A:
Computed, not measured: crystalline TaBeHg at its relaxed geometry at the GGA-PBE level of DFT.

Unit cell a=4.3874 b=4.3874 c=4.3874 alpha=60.00 beta=60.00 gamma=60.00
With the nearest neighbours (Å) after each atom.
Fractional positions:
Ta 0.0000 0.0000 0.0000  4 Hg 2.69, 4 Be 2.69
Be 0.7500 0.7500 0.7500  4 Ta 2.69
Hg 0.2500 0.2500 0.2500  4 Ta 2.69

Total magnetization: 0.00 μB/f.u.
Calculated volume: 19.9 A^3/atom
SG: F-43m



B:
Computed, not measured: crystalline TaBeHg at its relaxed geometry at the GGA-PBE level of DFT.

Unit cell a=4.1477 b=4.1477 c=4.1477 alpha=60.00 beta=60.00 gamma=60.00
With the nearest neighbours (Å) after each atom.
Fractional positions:
Ta 0.0000 0.0000 0.0000  4 Be 2.54
Be 0.7500 0.7500 0.7500  4 Hg 2.54, 4 Ta 2.54
Hg 0.5000 0.5000 0.5000  4 Be 2.54

Total magnetization: 0.37 μB/f.u.
Calculated volume: 16.8 A^3/atom
SG: F-43m



B wins, 509 meV/atom ahead of the next structure.



A:
Computed, not measured: crystalline BeHgTe2 at its relaxed geometry at the GGA-PBE level of DFT.

Unit cell a=4.2839 b=4.2839 c=6.3511 alpha=90.00 beta=90.00 gamma=90.00
With the nearest neighbours (Å) after each atom.
Fractional positions:
Be 0.0000 0.0000 0.0000  4 Te 2.51
Hg 0.5000 0.5000 0.5000  4 Te 2.85
Te 0.0000 0.5000 0.2051  2 Be 2.51
Te 0.5000 0.0000 0.7949  2 Be 2.51

Calculated volume: 29.1 A^3/atom
SG: P-4m2



B:
Computed, not measured: crystalline BeHgTe2 at its relaxed geometry at the GGA-PBE level of DFT.

Unit cell a=5.1683 b=5.1683 c=5.1683 alpha=60.00 beta=60.00 gamma=60.00
With the nearest neighbours (Å) after each atom.
Fractional positions:
Be 0.0000 0.0000 0.0000  4 Hg 3.16, 4 Te 3.16
Hg 0.2500 0.2500 0.2500  4 Te 3.16, 4 Be 3.16
Te 0.5000 0.5000 0.5000  4 Te 3.16, 4 Hg 3.16
Te 0.7500 0.7500 0.7500  4 Te 3.16, 4 Be 3.16

Calculated volume: 24.4 A^3/atom
SG: F-43m



A wins, 875 meV/atom ahead of the next structure.



A:
Computed, not measured: crystalline TmBeHg at its relaxed geometry at the GGA-PBE level of DFT.

Unit cell a=4.6011 b=4.6011 c=4.6011 alpha=60.00 beta=60.00 gamma=60.00
With the nearest neighbours (Å) after each atom.
Fractional positions:
Tm 0.0000 0.0000 0.0000  4 Hg 2.82
Be 0.5000 0.5000 0.5000  4 Hg 2.82
Hg 0.7500 0.7500 0.7500  4 Be 2.82, 4 Tm 2.82

Total magnetization: 0.09 μB/f.u.
Calculated volume: 23.0 A^3/atom
SG: F-43m



B:
Computed, not measured: crystalline TmBeHg at its relaxed geometry at the GGA-PBE level of DFT.

Unit cell a=4.7051 b=4.7051 c=4.7051 alpha=60.00 beta=60.00 gamma=60.00
With the nearest neighbours (Å) after each atom.
Fractional positions:
Tm 0.0000 0.0000 0.0000  4 Be 2.88, 4 Hg 2.88
Be 0.7500 0.7500 0.7500  4 Tm 2.88
Hg 0.2500 0.2500 0.2500  4 Tm 2.88

Total magnetization: 0.00 μB/f.u.
Calculated volume: 24.6 A^3/atom
SG: F-43m



A wins, 326 meV/atom ahead of the next structure.



A:
Computed, not measured: crystalline UBeHg at its relaxed geometry at the GGA-PBE level of DFT.

Unit cell a=4.7830 b=4.7830 c=4.7830 alpha=60.00 beta=60.00 gamma=60.00
With the nearest neighbours (Å) after each atom.
Fractional positions:
U 0.0000 0.0000 0.0000  4 Be 2.93, 4 Hg 2.93
Be 0.7500 0.7500 0.7500  4 U 2.93
Hg 0.2500 0.2500 0.2500  4 U 2.93

Total magnetization: 3.23 μB/f.u.
Calculated volume: 25.8 A^3/atom
SG: F-43m



B:
Computed, not measured: crystalline UBeHg at its relaxed geometry at the GGA-PBE level of DFT.

Unit cell a=4.6777 b=4.6777 c=4.6777 alpha=60.00 beta=60.00 gamma=60.00
With the nearest neighbours (Å) after each atom.
Fractional positions:
U 0.0000 0.0000 0.0000  4 Hg 2.86
Be 0.5000 0.5000 0.5000  4 Hg 2.86
Hg 0.7500 0.7500 0.7500  4 Be 2.86, 4 U 2.86

Total magnetization: 2.02 μB/f.u.
Calculated volume: 24.1 A^3/atom
SG: F-43m



C:
Computed, not measured: crystalline UBeHg at its relaxed geometry at the GGA-PBE level of DFT.

Unit cell a=4.4978 b=4.4978 c=4.4978 alpha=60.00 beta=60.00 gamma=60.00
With the nearest neighbours (Å) after each atom.
Fractional positions:
U 0.0000 0.0000 0.0000  4 Be 2.75
Be 0.7500 0.7500 0.7500  4 Hg 2.75, 4 U 2.75
Hg 0.5000 0.5000 0.5000  4 Be 2.75

Total magnetization: 1.99 μB/f.u.
Calculated volume: 21.4 A^3/atom
SG: F-43m



C wins, 283 meV/atom ahead of the next structure.